A geometry-optimized Sm2PuGe3Ir4 structure. Source: the Alexandria database, functional PBE.

Cell and atoms, written as extended XYZ:
```
10
Lattice="4.2150 0.0000 0.0000 0.0000 4.2150 0.0000 0.0000 0.0000 11.0758" Properties=species:S:1:pos:R:3 pbc="T T T"
Sm 0.0000 2.1075 2.5334
Sm 2.1075 0.0000 8.5424
Pu 0.0000 0.0000 5.5379
Ge 0.0000 2.1075 9.7104
Ge 2.1075 0.0000 1.3654
Ge 2.1075 2.1075 5.5379
Ir 0.0000 0.0000 0.0000
Ir 0.0000 2.1075 7.2533
Ir 2.1075 0.0000 3.8225
Ir 2.1075 2.1075 0.0000
```

- SG = P-4m2
- DOS at the Fermi energy (states/eV/cell) = 7.06
- formation energy from the elements (eV/f.u.) = -7.2
- crystal system = tetragonal
- electronic total energy (eV/atom) = -8.03
- density (g/cm³) = 12.92